[1]
# PBE VSn2Pt, optimized geometry
# E above lowest polymorph, eV per formula unit: 0.00
# Formation enthalpy at 0 K, eV/atom: 0.033
data_VSn2Pt
_cell_length_a 6.749
_cell_length_b 6.749
_cell_length_c 6.749
_cell_angle_alpha 90.00
_cell_angle_beta 90.00
_cell_angle_gamma 90.00
_space_group_name_H-M_alt 'F m -3 m'
_space_group_IT_number 225
_space_group_name_Hall '-F 4 2 3'
loop_
_atom_site_label
_atom_site_type_symbol
_atom_site_fract_x
_atom_site_fract_y
_atom_site_fract_z
V1 V 0.000 0.000 0.000
Sn1 Sn 0.250 0.250 0.250
Pt1 Pt 0.000 0.000 0.500

[2]
# PBE VSn2Pt, optimized geometry
# E above lowest polymorph, eV per formula unit: 0.55
# Formation enthalpy at 0 K, eV/atom: 0.170
data_VSn2Pt
_cell_length_a 3.0682
_cell_length_b 3.0682
_cell_length_c 28.9464
_cell_angle_alpha 90.00
_cell_angle_beta 90.00
_cell_angle_gamma 120.00
_space_group_name_H-M_alt 'R -3 m'
_space_group_IT_number 166
_space_group_name_Hall '-R 3 2"'
loop_
_atom_site_label
_atom_site_type_symbol
_atom_site_fract_x
_atom_site_fract_y
_atom_site_fract_z
V1 V 0.0000 0.0000 0.0000
Sn1 Sn 0.0000 0.0000 0.4097
Pt1 Pt 0.0000 0.0000 0.5000

[3]
# PBE VSn2Pt, optimized geometry
# E above lowest polymorph, eV per formula unit: 0.50
# Formation enthalpy at 0 K, eV/atom: 0.158
data_VSn2Pt
_cell_length_a 7.522
_cell_length_b 7.522
_cell_length_c 5.999
_cell_angle_alpha 90.00
_cell_angle_beta 90.00
_cell_angle_gamma 90.00
_space_group_name_H-M_alt 'I -4 2 d'
_space_group_IT_number 122
_space_group_name_Hall 'I -4 2bw'
loop_
_atom_site_label
_atom_site_type_symbol
_atom_site_fract_x
_atom_site_fract_y
_atom_site_fract_z
V1 V 0.000 0.000 0.000
Sn1 Sn 0.231 0.250 0.625
Pt1 Pt 0.000 0.000 0.500

> Look up the E above lowest polymorph of the third one.

0.50 eV per formula unit